(1)
Here is an optimized crystal structure of KCoW2 from Alexandria via LeMat-Bulk. Energies are from PBE-GGA.

- Space-group type: Cmmm
- DFT formation energy: 1.60 eV/atom

Cell and atoms, written as extended XYZ:
```
4
Lattice="2.675 -5.154 0.000 2.675 5.154 0.000 0.000 0.000 2.611" Properties=species:S:1:pos:R:3 pbc="T T T"
K 0.000 0.000 0.000
Co 2.675 0.000 0.000
W 1.338 2.577 1.305
W 1.338 -2.577 1.305
```

---

(2)
Here is an optimized crystal structure of KCoW2 from Alexandria via LeMat-Bulk. Energies are from PBE-GGA.

- Space-group type: Cmmm
- DFT formation energy: 0.94 eV/atom

Cell and atoms, written as extended XYZ:
```
4
Lattice="1.703 -2.101 0.000 1.703 2.101 0.000 0.000 0.000 10.085" Properties=species:S:1:pos:R:3 pbc="T T T"
K 0.000 0.000 0.000
Co 0.000 0.000 5.042
W 1.703 0.000 3.177
W 1.703 0.000 6.907
```

---

In order of appearance, D(E_F) = 1.4210, 1.3392 states/eV per atom.
In order of appearance, magnetic moment = 1.5, 0.4 μB/cell.
In order of appearance, total DFT energy (no corrections) = -27.72, -30.34 eV per formula unit.